No. 1
# SnPb PBE optimized geometry
data_SnPb
_chemical_formula_sum 'Sn4 Pb4'
_symmetry_space_group_name_H-M 'P 1'
_symmetry_Int_Tables_number 1
_cell_length_a 8.6719
_cell_length_b 8.6719
_cell_length_c 8.6719
_cell_angle_alpha 92.22
_cell_angle_beta 92.22
_cell_angle_gamma 157.29
loop_
_symmetry_equiv_pos_as_xyz
'x,y,z'
loop_
_atom_site_label
_atom_site_type_symbol
_atom_site_fract_x
_atom_site_fract_y
_atom_site_fract_z
Sn1 Sn 0.1042 0.3732 0.4773
Sn2 Sn 0.3732 0.8958 0.2690
Sn3 Sn 0.6268 0.1042 0.7310
Sn4 Sn 0.8958 0.6268 0.5227
Pb1 Pb 0.1120 0.8423 0.9542
Pb2 Pb 0.1577 0.1120 0.2697
Pb3 Pb 0.8423 0.8880 0.7303
Pb4 Pb 0.8880 0.1577 0.0458
# E_tot = -30.02 eV per cell
# Crystal system = tetragonal
# Magnetization = 0.00 μB/atom

***

No. 2
# TiInW2I PBE optimized geometry
data_TiInW2I
_chemical_formula_sum 'Ti1 In1 W2 I1'
_symmetry_space_group_name_H-M 'P 1'
_symmetry_Int_Tables_number 1
_cell_length_a 4.9137
_cell_length_b 4.9137
_cell_length_c 4.8510
_cell_angle_alpha 90.00
_cell_angle_beta 90.00
_cell_angle_gamma 90.00
loop_
_symmetry_equiv_pos_as_xyz
'x,y,z'
loop_
_atom_site_label
_atom_site_type_symbol
_atom_site_fract_x
_atom_site_fract_y
_atom_site_fract_z
Ti1 Ti 0.0000 0.0000 0.0000
In1 In 0.5000 0.5000 0.0000
W1 W 0.0000 0.5000 0.5000
W2 W 0.5000 0.0000 0.5000
I1 I 0.0000 0.0000 0.5000
# E_tot = -28.15 eV per cell
# Crystal system = tetragonal
# Formation energy (no corrections) = 1988.0 meV per atom
# Magnetization = 0.00 μB/atom

***

No. 3
# SrTaIr PBE optimized geometry
data_SrTaIr
_chemical_formula_sum 'Sr1 Ta1 Ir1'
_symmetry_space_group_name_H-M 'P 1'
_symmetry_Int_Tables_number 1
_cell_length_a 6.5890
_cell_length_b 6.5890
_cell_length_c 6.5890
_cell_angle_alpha 149.48
_cell_angle_beta 149.48
_cell_angle_gamma 43.70
loop_
_symmetry_equiv_pos_as_xyz
'x,y,z'
loop_
_atom_site_label
_atom_site_type_symbol
_atom_site_fract_x
_atom_site_fract_y
_atom_site_fract_z
Sr1 Sr 0.0000 0.0000 0.0000
Ta1 Ta 0.7225 0.7225 0.0000
Ir1 Ir 0.2921 0.2921 0.0000
# E_tot = -22.37 eV per cell
# Crystal system = tetragonal
# Energy above the lowest structure with this stoichiometry = 0.387 eV per atom
# Magnetization = 0.00 μB/atom